# 1
Material: LaDy2Cd3AgAu2
Method: DFT, GGA-PBE
State: optimized geometry

abc: 3.891 7.948 7.948
angles: 120.31 90.00 90.00
Atoms (fractional coordinates):
Ag 0.000 0.003 0.003
Dy 0.000 0.408 0.001
Au 0.500 0.668 0.327
Cd 0.500 0.256 0.256
Dy 0.000 0.001 0.408
La 0.000 0.593 0.593
Cd 0.500 0.005 0.740
Au 0.500 0.327 0.668
Cd 0.500 0.740 0.005

## Properties
Calculated formation energy (meV per atom): -579
Space group: No. 38

***

# 2
Material: Nd2DyCd3AgAu2
Method: DFT, GGA-PBE
State: optimized geometry

abc: 3.931 7.951 7.951
angles: 119.85 90.00 90.00
Atoms (fractional coordinates):
Dy 0.000 0.591 0.591
Au 0.500 0.665 0.339
Nd 0.000 0.000 0.408
Cd 0.500 0.740 0.997
Au 0.500 0.339 0.665
Nd 0.000 0.408 0.000
Cd 0.500 0.997 0.740
Cd 0.500 0.261 0.261
Ag 0.000 0.998 0.998

## Properties
Calculated formation energy (meV per atom): -573
Space group: No. 38

***

# 3
Material: SmDy2Cd3AgAu2
Method: DFT, GGA-PBE
State: optimized geometry

abc: 3.890 7.891 7.891
angles: 120.30 90.00 90.00
Atoms (fractional coordinates):
Au 0.500 0.667 0.330
Cd 0.500 0.001 0.740
Ag 0.000 0.001 0.001
Dy 0.000 0.000 0.409
Cd 0.500 0.260 0.260
Au 0.500 0.330 0.667
Dy 0.000 0.409 0.000
Sm 0.000 0.592 0.592
Cd 0.500 0.740 0.001

## Properties
Calculated formation energy (meV per atom): -580
Space group: No. 38

***

# 4
Material: Dy2YCd3AgAu2
Method: DFT, GGA-PBE
State: optimized geometry

abc: 3.834 7.872 7.872
angles: 120.03 90.00 90.00
Atoms (fractional coordinates):
Cd 0.500 0.263 0.263
Cd 0.500 0.000 0.737
Au 0.500 0.667 0.333
Ag 0.000 0.000 0.000
Dy 0.000 0.000 0.408
Cd 0.500 0.737 0.000
Dy 0.000 0.408 0.000
Au 0.500 0.333 0.667
Y 0.000 0.592 0.592

## Properties
Calculated formation energy (meV per atom): -585
Space group: No. 38

***

# 5
Material: DyY2Cd3AgAu2
Method: DFT, GGA-PBE
State: optimized geometry

abc: 3.836 7.873 7.873
angles: 119.97 90.00 90.00
Atoms (fractional coordinates):
Y 0.000 0.408 0.000
Au 0.500 0.334 0.667
Dy 0.000 0.591 0.591
Y 0.000 0.000 0.408
Cd 0.500 0.263 0.263
Cd 0.500 0.000 0.737
Au 0.500 0.667 0.334
Cd 0.500 0.737 0.000
Ag 0.000 0.000 0.000

## Properties
Calculated formation energy (meV per atom): -588
Space group: No. 38

***

# 6
Material: Gd2ErCd3AgAu2
Method: DFT, GGA-PBE
State: optimized geometry

abc: 3.861 7.858 7.858
angles: 119.80 90.00 90.00
Atoms (fractional coordinates):
Cd 0.500 0.001 0.262
Au 0.500 0.334 0.663
Ag 0.000 0.001 0.001
Au 0.500 0.663 0.334
Gd 0.000 0.592 0.000
Er 0.000 0.408 0.408
Cd 0.500 0.738 0.738
Gd 0.000 0.000 0.592
Cd 0.500 0.262 0.001

## Properties
Calculated formation energy (meV per atom): -581
Space group: No. 38